No. 1
YCrAgBi2 | PBE | relaxed

The space group is P4/mmm (No. 123) and the conventional cell measures 5.467, 5.467 and 5.474 Å, with angles of 90.00, 90.00 and 90.00 degrees. Symmetry generates all atoms from Y at (0.000, 0.000, 0.000), Cr at (0.500, 0.500, 0.000), Ag at (0.000, 0.000, 0.500) and Bi at (0.000, 0.500, 0.500).

The formation energy is 3.56 eV/f.u. The uncorrected energy comes out at -23.1 eV/cell.


No. 2
Zr2CrAgBi | PBE | relaxed

The space group is P4/mmm (No. 123) and the conventional cell measures 5.458, 5.458 and 5.033 Å, with angles of 90.00, 90.00 and 90.00 degrees. Symmetry generates all atoms from Zr at (0.000, 0.500, 0.000), Cr at (0.000, 0.000, 0.500), Ag at (0.500, 0.500, 0.500) and Bi at (0.000, 0.000, 0.000).

The formation energy is 6.26 eV/f.u. The uncorrected energy comes out at -27.2 eV/cell.


No. 3
Cs3AgBi4 | PBE | relaxed

The space group is Pmmn (No. 59, origin choice 2) and the conventional cell measures 7.224, 15.013 and 6.713 Å, with angles of 90.00, 90.00 and 90.00 degrees. Symmetry generates all atoms from Cs at (0.250, 0.003, 0.179), Cs at (0.250, 0.250, 0.555), Ag at (0.250, 0.750, 0.320), Bi at (0.009, 0.750, 0.943) and Bi at (0.250, 0.621, 0.669).

The formation energy is -1.38 eV/f.u. The uncorrected energy comes out at -44.6 eV/cell.


No. 4
CsAg2Bi2 | PBE | relaxed

The space group is I4/mmm (No. 139) and the conventional cell measures 5.184, 5.184 and 12.151 Å, with angles of 90.00, 90.00 and 90.00 degrees. Symmetry generates all atoms from Cs at (0.000, 0.000, 0.000), Ag at (0.000, 0.500, 0.250) and Bi at (0.000, 0.000, 0.370).

The formation energy is -0.51 eV/f.u. The uncorrected energy comes out at -29.7 eV/cell. The energy above the most stable polymorph in this dataset comes out at 0.003 eV/atom.


No. 5
Cs2AgBi | PBE | relaxed

The space group is I-42d (No. 122) and the conventional cell measures 13.874, 13.874 and 5.420 Å, with angles of 90.00, 90.00 and 90.00 degrees. Symmetry generates all atoms from Cs at (0.063, 0.250, 0.125), Ag at (0.000, 0.000, 0.000) and Bi at (0.000, 0.000, 0.500).

The formation energy is -0.51 eV/f.u. The uncorrected energy comes out at -35.8 eV/cell.


No. 6
CsAgBi2 | PBE | relaxed

The space group is R-3m (No. 166, hexagonal axes) and the conventional cell measures 3.7039, 3.7039 and 33.2972 Å, with angles of 90.00, 90.00 and 120.00 degrees. Symmetry generates all atoms from Cs at (0.0000, 0.0000, 0.0000), Ag at (0.0000, 0.0000, 0.5000) and Bi at (0.0000, 0.0000, 0.2333).

The formation energy is 0.37 eV/f.u. The uncorrected energy comes out at -33.3 eV/cell. The energy above the most stable polymorph in this dataset comes out at 0.184 eV/atom.


No. 7
CsAg2Bi2 | PBE | relaxed

The space group is I4/mmm (No. 139) and the conventional cell measures 5.117, 5.117 and 12.499 Å, with angles of 90.00, 90.00 and 90.00 degrees. Symmetry generates all atoms from Cs at (0.000, 0.000, 0.000), Ag at (0.000, 0.000, 0.379) and Bi at (0.000, 0.500, 0.250).

The formation energy is -0.12 eV/f.u. The uncorrected energy comes out at -28.9 eV/cell. The energy above the most stable polymorph in this dataset comes out at 0.082 eV/atom.


No. 8
CsAg2Bi | PBE | relaxed

The space group is R-3m (No. 166, hexagonal axes) and the conventional cell measures 5.0749, 5.0749 and 19.9242 Å, with angles of 90.00, 90.00 and 120.00 degrees. Symmetry generates all atoms from Cs at (0.0000, 0.0000, 0.0000), Ag at (0.0000, 0.0000, 0.1847) and Bi at (0.0000, 0.0000, 0.5000).

The formation energy is -0.39 eV/f.u. The uncorrected energy comes out at -32.5 eV/cell.


No. 9
CsAgBi2 | PBE | relaxed

The space group is Pnma (No. 62) and the conventional cell measures 8.856, 9.136 and 7.877 Å, with angles of 90.00, 90.00 and 90.00 degrees. Symmetry generates all atoms from Cs at (0.052, 0.250, 0.142), Ag at (0.094, 0.750, 0.287) and Bi at (0.171, 0.085, 0.612).

The formation energy is -0.36 eV/f.u. The uncorrected energy comes out at -47.3 eV/cell. The energy above the most stable polymorph in this dataset comes out at 0.000 eV/atom.


No. 10
CsAg2Bi2 | PBE | relaxed

The space group is P4/mbm (No. 127) and the conventional cell measures 9.528, 9.528 and 3.346 Å, with angles of 90.00, 90.00 and 90.00 degrees. Symmetry generates all atoms from Cs at (0.000, 0.000, 0.000), Ag at (0.151, 0.349, 0.500) and Bi at (0.136, 0.636, 0.000).

The formation energy is 0.23 eV/f.u. The uncorrected energy comes out at -28.2 eV/cell. The energy above the most stable polymorph in this dataset comes out at 0.151 eV/atom.


No. 11
Cs5AgBi2 | PBE | relaxed

The space group is R-3m (No. 166, hexagonal axes) and the conventional cell measures 6.6706, 6.6706 and 31.5047 Å, with angles of 90.00, 90.00 and 120.00 degrees. Symmetry generates all atoms from Cs at (0.0000, 0.0000, 0.0000), Cs at (0.0000, 0.0000, 0.1352), Cs at (0.0000, 0.0000, 0.2832), Ag at (0.0000, 0.0000, 0.5000) and Bi at (0.0000, 0.0000, 0.4109).

The formation energy is -2.73 eV/f.u. The uncorrected energy comes out at -52.8 eV/cell.


No. 12
Cs3Ag2Bi4 | PBE | relaxed

The space group is C2/m (No. 12) and the conventional cell measures 14.302, 5.310 and 10.783 Å, with angles of 90.00, 104.73 and 90.00 degrees. Symmetry generates all atoms from Cs at (0.000, 0.000, 0.000), Cs at (0.121, 0.500, 0.388), Ag at (0.168, 0.500, 0.767), Bi at (0.106, 0.000, 0.679) and Bi at (0.226, 0.500, 0.068).

The formation energy is -1.77 eV/f.u. The uncorrected energy comes out at -51.1 eV/cell.